Here is a relaxed structure of Ac4TbAs5 from Alexandria. Energies are from PBE-GGA.

```
Ac4TbAs5
1.0
5.7158 0.0000 2.7569
2.8579 7.0691 1.3784
-0.2132 0.0000 7.7456
As Ac Tb
5 4 1
direct
0.9053 0.3839 0.8075
0.7128 0.1925 0.3839
0.2892 0.8075 0.6161
0.5004 0.0000 0.0000
0.0967 0.6161 0.1925
0.2023 0.2011 0.3965
0.4034 0.3965 0.7989
0.7999 0.7989 0.6035
0.5988 0.6035 0.2011
0.0015 0.0000 0.0000
```

## Properties
- N(E_F): 0.985 states/eV/f.u.
- Formation energy: -1.4588 eV per atom
- V: 31.71 Å³ per atom
- Crystal system: tetragonal
- Magnetic moment: 0.00 μB/cell
- Space-group type: I4 (79)
- Final energy: -5.89 eV per atom

Here is a relaxed structure of BaAcLaEu from Alexandria. Energies are from PBE-GGA.

```
BaAcLaEu
1.0
-1.1339 0.1807 -6.2632
-4.4540 -3.7761 -2.5395
-5.4324 2.5056 -2.1811
Eu Ba Ac La
1 1 1 1
direct
0.0000 0.0000 0.0000
0.7500 0.7500 0.7500
0.5000 0.5000 0.5000
0.2500 0.2500 0.2500
```

## Properties
- N(E_F): 4.795 states/eV/f.u.
- Formation energy: 0.1546 eV per atom
- V: 45.64 Å³ per atom
- Crystal system: cubic
- Magnetic moment: 7.51 μB/cell
- Space-group type: F-43m (216)
- Final energy: -5.15 eV per atom

Here is a relaxed structure of Pu5PS4 from Alexandria. Energies are from PBE-GGA.

```
Pu5PS4
1.0
5.0663 0.0000 2.4436
2.5331 6.2900 1.2218
-0.1994 0.0000 6.8872
S Pu P
4 5 1
direct
0.8013 0.8002 0.5993
0.4005 0.4007 0.8002
0.6015 0.5993 0.1998
0.2007 0.1998 0.4007
0.9009 0.4000 0.8003
0.1012 0.6000 0.1997
0.7012 0.1997 0.4000
0.3009 0.8003 0.6000
0.5010 0.0000 0.0000
0.0011 0.0000 0.0000
```

## Properties
- E_form (uncorrected): -16.56 eV per formula unit
- N(E_F): 40.938 states/eV/f.u.
- V: 22.25 Å³ per atom
- Crystal system: tetragonal
- Magnetic moment: 27.64 μB/cell
- Space-group type: I4/m (87)
- Final energy: -11.01 eV per atom